First-principles (PBE) data for a relaxed structure of Hf5Bi2Mo, as listed in Alexandria.

Values from the calculation:
ΔE_f, meV/atom: 353
Size of the total moment, Bohr magnetons per cell: 0.00
E, eV for the cell shown: -131.073

Unit cell a=5.0584 b=7.2755 c=12.5622 alpha=90.00 beta=90.00 gamma=110.34
Closest atoms and distances in Å follow each position.
Fractional coordinates of all 16 atoms:
Bi  0.1090  0.2179  0.8783  6 Hf 2.97-3.21, 1 Bi 3.22
Bi  0.8910  0.7821  0.1217  6 Hf 2.97-3.21, 1 Bi 3.22
Bi  0.1090  0.2179  0.6217  6 Hf 2.97-3.21, 1 Bi 3.22
Bi  0.8910  0.7821  0.3783  6 Hf 2.97-3.21, 1 Bi 3.22
Mo  0.7394  0.4788  0.7500  4 Hf 2.65-2.69
Mo  0.2606  0.5212  0.2500  4 Hf 2.65-2.69
Hf  0.1090  0.2179  0.1183  1 Mo 2.65
Hf  0.6905  0.3810  0.5112  6 Hf 3.02-3.28, 1 Mo 3.07, 3 Bi 3.09-3.21
Hf  0.3060  0.6120  0.7500  2 Mo 2.69
Hf  0.3095  0.6190  0.4888  6 Hf 3.02-3.28, 1 Mo 3.07, 3 Bi 3.09-3.21
Hf  0.6940  0.3880  0.2500  2 Mo 2.69
Hf  0.3095  0.6190  0.0112  6 Hf 3.02-3.28, 1 Mo 3.07, 3 Bi 3.09-3.21
Hf  0.8910  0.7821  0.8817  1 Mo 2.65
Hf  0.1090  0.2179  0.3817  1 Mo 2.65
Hf  0.8910  0.7821  0.6183  1 Mo 2.65
Hf  0.6905  0.3810  0.9888  6 Hf 3.02-3.28, 1 Mo 3.07, 3 Bi 3.09-3.21

***

First-principles (PBE) data for a relaxed structure of In2IBr, as listed in Alexandria.

Values from the calculation:
Energy above the most stable polymorph in this dataset, meV/atom: 6
Size of the total moment, Bohr magnetons per cell: 0.00
E, eV for the cell shown: -43.476
Uncorrected formation energy, eV per atom: -0.54

Unit cell a=6.9066 b=6.8873 c=13.6439 alpha=90.17 beta=90.00 gamma=90.00
Closest atoms and distances in Å follow each position.
Fractional coordinates of all 16 atoms:
I  0.7499  0.4985  0.8748  6 In 3.41-3.54
I  0.2501  0.5015  0.1252  6 In 3.41-3.54
I  0.7499  0.0015  0.6252  6 In 3.41-3.54
I  0.2501  0.9985  0.3748  6 In 3.41-3.54
Br  0.2217  0.9879  0.8745  5 In 3.25-3.55
Br  0.7783  0.4879  0.3745  5 In 3.25-3.55
Br  0.2217  0.5121  0.6255  5 In 3.25-3.55
Br  0.7783  0.0121  0.1255  5 In 3.25-3.55
In  0.7570  0.0024  0.3655  3 Br 3.28-3.55, 3 I 3.41-3.54
In  0.2489  0.0020  0.1152  2 Br 3.25-3.29, 3 I 3.44-3.54
In  0.2430  0.9976  0.6345  3 Br 3.28-3.55, 3 I 3.41-3.54
In  0.7511  0.5020  0.6152  2 Br 3.25-3.29, 3 I 3.44-3.54
In  0.2430  0.5024  0.8655  3 Br 3.28-3.55, 3 I 3.41-3.54
In  0.2489  0.4980  0.3848  2 Br 3.25-3.29, 3 I 3.44-3.54
In  0.7570  0.4976  0.1345  3 Br 3.28-3.55, 3 I 3.41-3.54
In  0.7511  0.9980  0.8848  2 Br 3.25-3.29, 3 I 3.44-3.54

***

First-principles (PBE) data for a relaxed structure of Tl5Cd3Cl12, as listed in Alexandria.

Values from the calculation:
Size of the total moment, Bohr magnetons per cell: 0.00
E, eV for the cell shown: -56.724
Uncorrected formation energy, eV per atom: -1.00

Unit cell a=4.0831 b=12.8001 c=12.8001 alpha=120.00 beta=90.00 gamma=90.00
Closest atoms and distances in Å follow each position.
Fractional coordinates of all 20 atoms:
Cl  0.0000  0.1885  0.1885  2 Cd 2.73
Cl  0.0000  0.0000  0.5348  2 Cd 2.67
Cl  0.0000  0.8115  0.0000  2 Cd 2.73
Cl  0.5000  0.2047  0.4449  1 Cd 2.66
Cl  0.5000  0.2402  0.7953  1 Cd 2.66
Cl  0.5000  0.5551  0.7598  1 Cd 2.66
Cl  0.5000  0.7598  0.5551  1 Cd 2.66
Cl  0.0000  0.4652  0.4652  2 Cd 2.67
Cl  0.5000  0.4449  0.2047  1 Cd 2.66
Cl  0.0000  0.0000  0.8115  2 Cd 2.73
Cl  0.0000  0.5348  0.0000  2 Cd 2.67
Cl  0.5000  0.7953  0.2402  1 Cd 2.66
Cd  0.5000  0.0000  0.6697  6 Cl 2.66-2.73
Cd  0.5000  0.3303  0.3303  6 Cl 2.66-2.73
Cd  0.5000  0.6697  0.0000  6 Cl 2.66-2.73
Tl  0.0000  0.3333  0.6667  6 Cl 3.20
Tl  0.0000  0.7164  0.7164  7 Cl 3.14-3.21
Tl  0.0000  0.0000  0.2836  7 Cl 3.14-3.21
Tl  0.0000  0.2836  0.0000  7 Cl 3.14-3.21
Tl  0.0000  0.6667  0.3333  6 Cl 3.20

***

First-principles (PBE) data for a relaxed structure of LaHg3Pd2, as listed in Alexandria.

Values from the calculation:
ΔE_f, meV/atom: -422
Size of the total moment, Bohr magnetons per cell: 0.00
E, eV for the cell shown: -37.497

Unit cell a=4.4211 b=9.2069 c=8.4252 alpha=121.73 beta=90.00 gamma=103.89
Closest atoms and distances in Å follow each position.
Fractional coordinates of all 12 atoms:
Hg  0.6640  0.3281  0.8451  4 Pd 2.87-3.05
Hg  0.0394  0.0788  0.3922  3 Pd 2.80-2.95, 3 Hg 2.84-3.13
Hg  0.6785  0.3569  0.4629  4 Pd 2.87-2.92, 4 Hg 3.13-3.18
Hg  0.3215  0.6431  0.5371  4 Pd 2.87-2.92, 4 Hg 3.13-3.18
Hg  0.9606  0.9212  0.6078  3 Pd 2.80-2.95, 3 Hg 2.84-3.13
Hg  0.3360  0.6719  0.1549  4 Pd 2.87-3.05
La  0.1290  0.2579  0.1011  4 Pd 3.05-3.13, 3 Hg 3.38-3.41
La  0.8710  0.7421  0.8989  4 Pd 3.05-3.13, 3 Hg 3.38-3.41
Pd  0.7761  0.5522  0.2756  7 Hg 2.87-3.05, 2 La 3.13
Pd  0.5040  0.0079  0.8460  1 Pd 2.67, 4 Hg 2.80-2.87
Pd  0.4960  0.9921  0.1540  1 Pd 2.67, 4 Hg 2.80-2.87
Pd  0.2239  0.4478  0.7244  7 Hg 2.87-3.05, 2 La 3.13

***

First-principles (PBE) data for a relaxed structure of OsSeCl2, as listed in Alexandria.

Values from the calculation:
Energy above the most stable polymorph in this dataset, meV/atom: 0
Size of the total moment, Bohr magnetons per cell: 0.00
E, eV for the cell shown: -18.867
Uncorrected formation energy, eV per atom: -0.11

Unit cell a=3.6183 b=6.6367 c=6.6750 alpha=40.52 beta=90.00 gamma=90.00
Closest atoms and distances in Å follow each position.
Fractional coordinates of all 4 atoms:
Cl  0.5000  0.3714  0.3775  2 Os 2.55
Cl  0.0000  0.9687  0.9687  2 Os 2.38-2.39
Os  0.0000  0.5210  0.5153  2 Se 2.35, 4 Cl 2.38-2.55
Se  0.5000  0.6388  0.6385  2 Os 2.35

***

First-principles (PBE) data for a relaxed structure of ZrInBr2, as listed in Alexandria.

Values from the calculation:
Energy above the most stable polymorph in this dataset, meV/atom: 693
Size of the total moment, Bohr magnetons per cell: 0.93
E, eV for the cell shown: -14.905
Uncorrected formation energy, eV per atom: -0.07

Unit cell a=6.3142 b=6.3142 c=6.3142 alpha=140.53 beta=140.53 gamma=57.05
Closest atoms and distances in Å follow each position.
Fractional coordinates of all 4 atoms:
In  0.5000  0.5000  0.0000  4 Br 3.02
Zr  0.7500  0.2500  0.5000  4 Br 3.02
Br  0.0000  0.0000  0.0000  4 In 3.02
Br  0.2500  0.7500  0.5000  4 Zr 3.02

***

First-principles (PBE) data for a relaxed structure of Y2TaGe3Ir4, as listed in Alexandria.

Values from the calculation:
ΔE_f, meV/atom: -758
Size of the total moment, Bohr magnetons per cell: 0.00
E, eV for the cell shown: -81.653

Unit cell a=4.1450 b=4.1450 c=10.7871 alpha=90.00 beta=90.00 gamma=90.00
Closest atoms and distances in Å follow each position.
Fractional coordinates of all 10 atoms:
Y  0.5000  0.0000  0.2340  4 Ge 3.14, 8 Ir 3.22-3.27
Y  0.0000  0.5000  0.7660  4 Ge 3.14, 8 Ir 3.22-3.27
Ir  0.0000  0.0000  0.0000  4 Ge 2.50
Ir  0.0000  0.5000  0.3579  3 Ge 2.46-2.58, 2 Ta 2.58
Ir  0.5000  0.0000  0.6421  3 Ge 2.46-2.58, 2 Ta 2.58
Ir  0.5000  0.5000  0.0000  4 Ge 2.50
Ge  0.0000  0.0000  0.5000  4 Ir 2.58
Ge  0.0000  0.5000  0.1300  5 Ir 2.46-2.50
Ge  0.5000  0.0000  0.8700  5 Ir 2.46-2.50
Ta  0.5000  0.5000  0.5000  4 Ir 2.58

***

First-principles (PBE) data for a relaxed structure of Al2HgOs, as listed in Alexandria.

Values from the calculation:
ΔE_f, meV/atom: 21
Size of the total moment, Bohr magnetons per cell: 0.00
E, eV for the cell shown: -18.934

Unit cell a=4.8759 b=4.8759 c=4.5160 alpha=73.60 beta=73.60 gamma=38.89
Closest atoms and distances in Å follow each position.
Fractional coordinates of all 4 atoms:
Os  0.2626  0.2626  0.1683  5 Al 2.58-2.67
Al  0.7464  0.7464  0.7218  3 Hg 2.62-2.76, 2 Os 2.63, 2 Al 2.90
Al  0.9909  0.9909  0.0665  3 Os 2.58-2.67, 4 Hg 2.72-2.85
Hg  0.5001  0.5001  0.5434  7 Al 2.62-2.85

***

First-principles (PBE) data for a relaxed structure of LaGa3Cu, as listed in Alexandria.

Values from the calculation:
ΔE_f, meV/atom: 1118
Energy above the most stable polymorph in this dataset, meV/atom: 1675
Size of the total moment, Bohr magnetons per cell: 0.00
E, eV for the cell shown: -12.513

Unit cell a=5.7749 b=5.7749 c=5.7749 alpha=90.00 beta=90.00 gamma=90.00
Closest atoms and distances in Å follow each position.
Fractional coordinates of all 5 atoms:
Ga  0.0000  0.5000  0.0000  2 La 2.89
Ga  0.5000  0.0000  0.0000  2 La 2.89
Ga  0.0000  0.0000  0.5000  2 La 2.89
La  0.0000  0.0000  0.0000  6 Ga 2.89
Cu  0.5000  0.5000  0.5000  12 Ga 4.08

***

First-principles (PBE) data for a relaxed structure of Sr2AcSi4, as listed in Alexandria.

Values from the calculation:
Size of the total moment, Bohr magnetons per cell: 0.00
E, eV for the cell shown: -32.716
Uncorrected formation energy, eV per atom: -0.51

Unit cell a=4.0588 b=4.7426 c=9.8370 alpha=103.95 beta=101.91 gamma=90.00
Closest atoms and distances in Å follow each position.
Fractional coordinates of all 7 atoms:
Si  0.9351  0.4351  0.8702  3 Si 2.42-2.43
Si  0.3633  0.3633  0.7267  2 Si 2.43
Si  0.0649  0.5649  0.1298  3 Si 2.42-2.43
Si  0.6367  0.6367  0.2733  2 Si 2.43
Sr  0.1832  0.1832  0.3665  7 Si 3.24-3.36
Sr  0.8168  0.8168  0.6335  7 Si 3.24-3.36
Ac  0.5000  0.0000  0.0000  12 Si 3.35-3.48

***

First-principles (PBE) data for a relaxed structure of PrGaO3, as listed in Alexandria.

Values from the calculation:
Size of the total moment, Bohr magnetons per cell: 0.00
E, eV for the cell shown: -141.246
Uncorrected formation energy, eV per atom: -2.53

Unit cell a=7.0915 b=5.4197 c=7.3639 alpha=90.00 beta=80.93 gamma=90.00
Closest atoms and distances in Å follow each position.
Fractional coordinates of all 20 atoms:
O  0.1381  0.0536  0.1910  2 Ga 1.95-2.01
O  0.7100  0.8682  0.4662  1 Ga 1.90
O  0.8619  0.9464  0.8090  2 Ga 1.95-2.01
O  0.5816  0.9581  0.1396  1 Ga 1.86
O  0.3619  0.5536  0.3090  2 Ga 1.95-2.01
O  0.6381  0.4464  0.6910  2 Ga 1.95-2.01
O  0.7900  0.3682  0.0338  1 Ga 1.90
O  0.9184  0.4581  0.3604  1 Ga 1.86
O  0.0816  0.5419  0.6396  1 Ga 1.86
O  0.2100  0.6318  0.9662  1 Ga 1.90
O  0.2900  0.1318  0.5338  1 Ga 1.90
O  0.4184  0.0419  0.8604  1 Ga 1.86
Pr  0.1215  0.2424  0.8629  6 O 2.36-2.60
Pr  0.8785  0.7576  0.1371  6 O 2.36-2.60
Pr  0.6215  0.2576  0.3629  6 O 2.36-2.60
Pr  0.3785  0.7424  0.6371  6 O 2.36-2.60
Ga  0.8451  0.6812  0.6220  4 O 1.86-2.01
Ga  0.3451  0.8188  0.1220  4 O 1.86-2.01
Ga  0.6549  0.1812  0.8780  4 O 1.86-2.01
Ga  0.1549  0.3188  0.3780  4 O 1.86-2.01